Record 1
An optimized crystal structure of Li2Cu3, computed with PBE-GGA.

## Properties
volume	189.0	Å³ per cell
N(E_F)	6.57	states/eV/cell
calculated formation energy	0.1	eV per formula unit
total energy	-48.12	eV for the cell shown
relative energy among the computed polymorphs	63	meV per atom
spin magnetization	0.0	μB/cell

a b c (Å): 2.6300 2.6300 31.5541
angles (deg): 90.00 90.00 120.00
Space group R-3m (No. 166, hexagonal axes)
Symmetry-distinct sites (fractional):
Li 0.0000 0.0000 0.0990
Cu 0.0000 0.0000 0.3010
Cu 0.0000 0.0000 0.5000

=====

Record 2
An optimized crystal structure of Li3Cu4, computed with PBE-GGA.

## Properties
volume	192.6	Å³ per cell
N(E_F)	2.81	states/eV/cell
calculated formation energy	-0.2	eV per formula unit
total energy	-44.69	eV for the cell shown
relative energy among the computed polymorphs	0	meV per atom
spin magnetization	0.0	μB/cell

a b c (Å): 7.2882 7.2882 4.1873
angles (deg): 90.00 90.00 120.00
Space group P6_3/mmc (No. 194)
Symmetry-distinct sites (fractional):
Li 0.1422 0.2844 0.2500
Cu 0.1028 0.5514 0.7500
Cu 0.3333 0.6667 0.2500

=====

Record 3
An optimized crystal structure of LiCu3, computed with PBE-GGA.

## Properties
volume	198.6	Å³ per cell
N(E_F)	5.14	states/eV/cell
calculated formation energy	0.3	eV per formula unit
total energy	-55.80	eV for the cell shown
spin magnetization	0.0	μB/cell

a b c (Å): 6.8435 6.1531 4.7153
angles (deg): 90.00 90.00 90.00
Space group Cmcm (No. 63)
Symmetry-distinct sites (fractional):
Li 0.0000 0.1278 0.2500
Cu 0.0000 0.5000 0.0000
Cu 0.1919 0.1983 0.7500

=====

What did the first record say?
An optimized crystal structure of Li2Cu3, computed with PBE-GGA.

## Properties
volume	189.0	Å³ per cell
N(E_F)	6.57	states/eV/cell
calculated formation energy	0.1	eV per formula unit
total energy	-48.12	eV for the cell shown
relative energy among the computed polymorphs	63	meV per atom
spin magnetization	0.0	μB/cell

a b c (Å): 2.6300 2.6300 31.5541
angles (deg): 90.00 90.00 120.00
Space group R-3m (No. 166, hexagonal axes)
Symmetry-distinct sites (fractional):
Li 0.0000 0.0000 0.0990
Cu 0.0000 0.0000 0.3010
Cu 0.0000 0.0000 0.5000